[1]
A relaxed Tb3SmSb4 crystal, computed with PBE-GGA.

Structure (POSCAR):
```
Tb3SmSb4
1.0
6.246 0.000 0.000
0.000 6.246 0.000
0.000 0.000 6.246
Tb Sm Sb
3 1 4
Cartesian
0.000 0.000 3.123
0.000 3.123 0.000
3.123 0.000 0.000
3.123 3.123 3.123
0.000 0.000 0.000
0.000 3.123 3.123
3.123 0.000 3.123
3.123 3.123 0.000
```

Calculated values
E_tot: -5.54 eV per atom
total moment: 0.000 μB/f.u.

[2]
A relaxed TbSmSb2Te2 crystal, computed with PBE-GGA.

Structure (POSCAR):
```
TbSmSb2Te2
1.0
4.308 0.000 0.000
0.000 4.308 0.000
0.000 0.000 9.346
Tb Sm Sb Te
1 1 2 2
Cartesian
0.000 0.000 0.000
2.154 2.154 4.212
0.000 2.154 6.795
2.154 0.000 6.795
0.000 0.000 3.244
2.154 2.154 0.917
```

Calculated values
E_tot: -5.11 eV per atom
total moment: 0.003 μB/f.u.

[3]
A relaxed TbSmZr2Sb2 crystal, computed with PBE-GGA.

Structure (POSCAR):
```
TbSmZr2Sb2
1.0
4.300 0.000 0.000
0.000 4.300 0.000
0.000 0.000 16.810
Tb Sm Zr Sb
2 2 4 4
Cartesian
0.000 0.000 0.000
2.150 2.150 8.405
0.000 0.000 10.855
2.150 2.150 2.450
0.000 2.150 5.447
0.000 2.150 13.852
2.150 0.000 5.447
2.150 0.000 13.852
0.000 0.000 3.239
0.000 0.000 7.649
2.150 2.150 11.644
2.150 2.150 16.054
```

Calculated values
E_tot: -6.60 eV per atom
total moment: 0.019 μB/f.u.

[4]
A relaxed SmTcSb crystal, computed with PBE-GGA.

Structure (POSCAR):
```
SmTcSb
1.0
6.912 0.000 0.000
0.000 6.912 0.000
0.000 0.000 6.912
Sm Tc Sb
4 4 4
Cartesian
0.000 0.000 0.000
0.000 3.456 3.456
3.456 0.000 3.456
3.456 3.456 0.000
1.728 1.728 1.728
1.728 5.184 5.184
5.184 1.728 5.184
5.184 5.184 1.728
1.728 1.728 5.184
1.728 5.184 1.728
5.184 1.728 1.728
5.184 5.184 5.184
```

Calculated values
total moment: 1.342 μB/f.u.
E above lowest polymorph: 61.4 kJ per mole of atoms

[5]
A relaxed SmTcSb crystal, computed with PBE-GGA.

Structure (POSCAR):
```
SmTcSb
1.0
6.765 0.000 0.000
0.000 6.765 0.000
0.000 0.000 6.765
Sm Tc Sb
4 4 4
Cartesian
0.000 0.000 0.000
0.000 3.383 3.383
3.383 0.000 3.383
3.383 3.383 0.000
0.000 0.000 3.383
0.000 3.383 0.000
3.383 0.000 0.000
3.383 3.383 3.383
1.691 1.691 1.691
1.691 5.074 5.074
5.074 1.691 5.074
5.074 5.074 1.691
```

Calculated values
total moment: 1.604 μB/f.u.
E above lowest polymorph: 0.0 kJ per mole of atoms

[6]
A relaxed SmSbTe crystal, computed with PBE-GGA.

Structure (POSCAR):
```
SmSbTe
1.0
7.356 0.000 0.000
0.000 7.356 0.000
0.000 0.000 7.356
Sm Sb Te
4 4 4
Cartesian
0.000 0.000 0.000
0.000 3.678 3.678
3.678 0.000 3.678
3.678 3.678 0.000
0.000 0.000 3.678
0.000 3.678 0.000
3.678 0.000 0.000
3.678 3.678 3.678
1.839 1.839 5.517
1.839 5.517 1.839
5.517 1.839 1.839
5.517 5.517 5.517
```

Calculated values
E_tot: -4.40 eV per atom
total moment: 0.003 μB/f.u.

[7]
A relaxed SmSbTe crystal, computed with PBE-GGA.

Structure (POSCAR):
```
SmSbTe
1.0
4.412 0.000 0.000
0.000 4.412 0.000
0.000 0.000 9.163
Sm Sb Te
2 2 2
Cartesian
1.103 1.103 2.077
3.309 3.309 7.086
1.103 1.103 7.989
3.309 3.309 1.174
1.103 3.309 4.582
3.309 1.103 4.582
```

Calculated values
E_tot: -4.78 eV per atom
total moment: 0.002 μB/f.u.

[8]
A relaxed Sm3Sb2Te crystal, computed with PBE-GGA.

Structure (POSCAR):
```
Sm3Sb2Te
1.0
3.865 -6.693 0.000
3.865 6.693 0.000
-2.582 0.000 7.279
Sm Sb Te
6 4 2
Cartesian
1.933 3.347 0.000
0.579 1.150 3.634
-0.712 -1.150 7.273
0.642 -3.347 3.639
5.861 1.150 0.006
4.570 -1.150 3.645
3.220 5.573 1.820
1.929 3.318 5.459
3.220 -3.318 1.820
1.929 -5.573 5.459
3.220 1.095 1.820
1.929 -1.095 5.459
```

Calculated values
E_tot: -5.55 eV per atom
total moment: 0.011 μB/f.u.

Q: Which value of total moment does entry 5 give?
A: 1.604 μB/f.u.